## HgPSe4 (GGA-PBE)

Data for crystalline HgPSe4 at its relaxed geometry.

Results
The uncorrected formation energy comes out at 0.02 eV per atom. As for the offset from the most stable computed form: 0.000 eV/atom. As for the density of states at the Fermi level: 1.08 states/eV/atom. The calculated density is 5.0 Mg/m³.

a b c (Å): 5.4919 5.3551 12.9071
angles (deg): 101.98 102.29 89.96
With the nearest neighbours (Å) after each atom.
Element x y z (fractional)
Se1 0.2773 0.0276 0.6293  1 P 2.23
Se2 0.6046 0.2815 0.1245  1 P 2.23
Se3 0.1481 0.3983 0.3707  1 P 2.23
Se4 0.8519 0.6017 0.6293  1 P 2.23
Se5 0.9800 0.1570 0.8755  1 P 2.23
Se6 0.0200 0.8430 0.1245  1 P 2.23
Se7 0.7227 0.9724 0.3707  1 P 2.23
Se8 0.3954 0.7185 0.8755  1 P 2.23
P1 0.8738 0.1238 0.2476  4 Se 2.23
P2 0.1262 0.8762 0.7524  4 Se 2.23
Hg1 0.6259 0.3759 0.7518  4 Se 2.67
Hg2 0.3741 0.6241 0.2482  4 Se 2.67